Version A
Tl2FeBr, relaxed, DFT GGA-PBEsol; DOS(E_F) = 4.0 states/eV/cell; magnetic moment = 2.68 μB per formula unit; crystal system = monoclinic
1.0
3.456 0.000 0.000
0.000 3.459 0.000
-0.105 0.000 7.520
Tl Fe Br
2 1 1
Cartesian
-0.003 0.000 1.551 Tl
3.353 0.000 5.968 Tl
1.728 1.729 0.000 Fe
1.675 1.729 3.760 Br

***

Version B
Tl2FeBr, relaxed, DFT GGA-PBEsol; DOS(E_F) = 3.9 states/eV/cell; magnetic moment = 2.80 μB per formula unit; crystal system = monoclinic
1.0
5.468 -1.625 0.000
5.468 1.625 0.000
-2.750 0.000 5.326
Tl Fe Br
2 1 1
Cartesian
0.000 0.000 0.000 Tl
-0.007 0.000 3.220 Tl
8.037 0.000 0.144 Fe
2.835 0.000 1.946 Br

***

Tell me which of them is the most stable. Sure, it is version B.

***

Version A
FeWBr2, relaxed, DFT GGA-PBEsol; DOS(E_F) = 2.7 states/eV/cell; magnetic moment = 0.00 μB per formula unit; crystal system = cubic
1.0
0.000 3.287 3.287
3.287 0.000 3.287
3.287 3.287 0.000
Fe W Br
1 1 2
Cartesian
0.000 0.000 0.000 Fe
4.930 4.930 4.930 W
1.643 1.643 1.643 Br
3.287 3.287 3.287 Br

***

Version B
FeWBr2, relaxed, DFT GGA-PBEsol; DOS(E_F) = 5.5 states/eV/cell; magnetic moment = 2.63 μB per formula unit; crystal system = tetragonal
1.0
4.511 0.000 0.000
0.000 4.511 0.000
0.000 0.000 3.126
Fe W Br
1 1 2
Cartesian
0.000 0.000 0.000 Fe
2.255 2.255 0.000 W
0.000 2.255 1.563 Br
2.255 0.000 1.563 Br

***

Tell me which of them is the most stable. Sure, it is version B.

***

Version A
Y2FeBr, relaxed, DFT GGA-PBEsol; DOS(E_F) = 4.5 states/eV/cell; magnetic moment = 0.94 μB per formula unit; crystal system = cubic
1.0
0.000 3.502 3.502
3.502 0.000 3.502
3.502 3.502 0.000
Y Fe Br
2 1 1
Cartesian
1.751 1.751 1.751 Y
5.253 5.253 5.253 Y
0.000 0.000 0.000 Fe
3.502 3.502 3.502 Br

***

Version B
Y2FeBr, relaxed, DFT GGA-PBEsol; DOS(E_F) = 4.5 states/eV/cell; magnetic moment = 1.66 μB per formula unit; crystal system = tetragonal
1.0
3.969 0.000 0.000
0.000 3.969 0.000
0.000 0.000 5.691
Y Fe Br
2 1 1
Cartesian
0.000 0.000 0.000 Y
1.985 1.985 2.846 Y
0.000 0.000 2.846 Fe
1.985 1.985 0.000 Br

***

Tell me which of them is the most stable. Sure, it is version B.

***

Version A
GaSbI2Br, relaxed, DFT GGA-PBEsol; DOS(E_F) = 3.0 states/eV/cell; magnetic moment = 0.00 μB per formula unit; crystal system = tetragonal
1.0
5.388 0.000 0.000
0.000 5.388 0.000
0.000 0.000 5.504
Ga Sb I Br
1 1 2 1
Cartesian
0.000 0.000 0.000 Ga
0.000 0.000 2.752 Sb
0.000 2.694 0.000 I
2.694 0.000 0.000 I
2.694 2.694 2.752 Br

***

Version B
GaSbI2Br, relaxed, DFT GGA-PBEsol; DOS(E_F) = 4.5 states/eV/cell; magnetic moment = 1.18 μB per formula unit; crystal system = tetragonal
1.0
5.862 0.000 0.000
0.000 5.862 0.000
0.000 0.000 5.531
Ga Sb I Br
1 1 2 1
Cartesian
0.000 0.000 0.000 Ga
2.931 2.931 0.000 Sb
0.000 2.931 2.766 I
2.931 0.000 2.766 I
2.931 2.931 2.766 Br

***

Tell me which of them is the most stable. Sure, it is version A.

***

Version A
GaSBr2, relaxed, DFT GGA-PBEsol; DOS(E_F) = 6.3 states/eV/cell; magnetic moment = 0.77 μB per formula unit; crystal system = tetragonal
1.0
-4.829 4.829 2.316
4.829 -4.829 2.316
4.829 4.829 -2.316
Ga S Br
2 2 4
Cartesian
0.000 0.000 0.000 Ga
0.000 4.829 1.158 Ga
4.829 0.000 1.158 S
0.000 0.000 2.316 S
-0.886 2.415 0.579 Br
2.415 3.943 1.737 Br
0.886 7.244 0.579 Br
-2.415 5.715 1.737 Br

***

Version B
GaSBr2, relaxed, DFT GGA-PBEsol; DOS(E_F) = 2.5 states/eV/cell; magnetic moment = 1.07 μB per formula unit; crystal system = trigonal
1.0
1.783 1.030 9.002
-1.783 1.030 9.002
0.000 -2.059 9.002
Ga S Br
1 1 2
Cartesian
0.000 0.000 0.000 Ga
0.000 0.000 13.503 S
0.000 0.000 2.354 Br
0.000 0.000 24.651 Br

***

Tell me which of them is the most stable. Sure, it is version A.

***

Version A
GaSbBr2, relaxed, DFT GGA-PBEsol; DOS(E_F) = 1.0 states/eV/cell; magnetic moment = 0.00 μB per formula unit; crystal system = trigonal
1.0
1.804 1.041 9.707
-1.804 1.041 9.707
0.000 -2.083 9.707
Ga Sb Br
1 1 2
Cartesian
0.000 0.000 0.000 Ga
0.000 0.000 14.561 Sb
0.000 0.000 11.802 Br
0.000 0.000 17.320 Br

***

Version B
GaSbBr2, relaxed, DFT GGA-PBEsol; DOS(E_F) = 4.8 states/eV/cell; magnetic moment = 0.00 μB per formula unit; crystal system = tetragonal
1.0
-2.395 2.395 9.594
2.395 -2.395 9.594
2.395 2.395 -9.594
Ga Sb Br
2 2 4
Cartesian
0.000 0.000 0.000 Ga
0.000 2.395 4.797 Ga
2.395 0.000 4.797 Sb
0.000 0.000 9.594 Sb
1.198 -1.163 7.196 Br
1.232 1.198 2.399 Br
1.198 3.559 -2.399 Br
1.163 1.198 11.993 Br

***

Tell me which of them is the most stable. Sure, it is version A.

***

Version A
TcGeSeBr2, relaxed, DFT GGA-PBEsol; DOS(E_F) = 6.0 states/eV/cell; magnetic moment = 1.29 μB per formula unit; crystal system = tetragonal
1.0
5.045 0.000 0.000
0.000 5.045 0.000
0.000 0.000 4.684
Tc Ge Se Br
1 1 1 2
Cartesian
0.000 0.000 0.000 Tc
2.523 2.523 2.342 Ge
0.000 0.000 2.342 Se
0.000 2.523 0.000 Br
2.523 0.000 0.000 Br

***

Version B
TcGeSeBr2, relaxed, DFT GGA-PBEsol; DOS(E_F) = 2.7 states/eV/cell; magnetic moment = 4.87 μB per formula unit; crystal system = tetragonal
1.0
5.064 0.000 0.000
0.000 5.064 0.000
0.000 0.000 5.138
Tc Ge Se Br
1 1 1 2
Cartesian
0.000 0.000 0.000 Tc
2.532 2.532 2.569 Ge
2.532 2.532 0.000 Se
0.000 2.532 2.569 Br
2.532 0.000 2.569 Br

***

Tell me which of them is the most stable. Sure, it is version A.

***

Version A
GeTe2Br, relaxed, DFT GGA-PBEsol; DOS(E_F) = 2.8 states/eV/cell; magnetic moment = 0.00 μB per formula unit; crystal system = trigonal
1.0
1.584 0.914 11.704
-1.584 0.914 11.704
0.000 -1.829 11.704
Ge Te Br
1 2 1
Cartesian
0.000 0.000 0.000 Ge
0.000 0.000 2.823 Te
0.000 0.000 32.289 Te
0.000 0.000 17.556 Br

***

Version B
GeTe2Br, relaxed, DFT GGA-PBEsol; DOS(E_F) = 9.0 states/eV/cell; magnetic moment = 0.00 μB per formula unit; crystal system = tetragonal
1.0
-3.812 3.812 4.208
3.812 -3.812 4.208
3.812 3.812 -4.208
Ge Te Br
2 4 2
Cartesian
0.000 0.000 0.000 Ge
0.000 3.812 2.104 Ge
1.906 1.512 -1.052 Te
2.301 -1.906 5.259 Te
1.906 2.301 3.156 Te
1.512 5.719 1.052 Te
3.812 0.000 2.104 Br
0.000 0.000 4.208 Br

***

Tell me which of them is the most stable. Sure, it is version B.

***

Version A
LiHBr2, relaxed, DFT GGA-PBEsol; DOS(E_F) = 0.0 states/eV/cell; magnetic moment = 0.00 μB per formula unit; crystal system = trigonal
1.0
2.019 1.166 6.182
-2.019 1.166 6.182
0.000 -2.331 6.182
Li H Br
1 1 2
Cartesian
0.000 0.000 0.000 Li
0.000 0.000 9.273 H
0.000 0.000 7.572 Br
0.000 0.000 10.974 Br

***

Version B
LiHBr2, relaxed, DFT GGA-PBEsol; DOS(E_F) = 0.0 states/eV/cell; magnetic moment = 0.00 μB per formula unit; crystal system = tetragonal
1.0
-2.757 2.757 4.978
2.757 -2.757 4.978
2.757 2.757 -4.978
Li H Br
2 2 4
Cartesian
0.000 0.000 0.000 Li
0.000 2.757 2.489 Li
2.757 0.000 2.489 H
0.000 0.000 4.978 H
1.379 -1.065 3.734 Br
1.692 1.379 1.245 Br
1.379 3.823 -1.245 Br
1.065 1.379 6.223 Br

***

Tell me which of them is the most stable. Sure, it is version A.

***

Version A
Mn2HBr, relaxed, DFT GGA-PBEsol; DOS(E_F) = 2.0 states/eV/cell; magnetic moment = 8.00 μB per formula unit; crystal system = tetragonal
1.0
-2.988 2.988 3.070
2.988 -2.988 3.070
2.988 2.988 -3.070
Mn H Br
4 2 2
Cartesian
1.494 0.769 -0.768 Mn
2.219 -1.494 3.838 Mn
1.494 2.219 2.303 Mn
0.769 4.482 0.768 Mn
0.000 0.000 0.000 H
0.000 2.988 1.535 H
2.988 0.000 1.535 Br
0.000 0.000 3.070 Br

***

Version B
Mn2HBr, relaxed, DFT GGA-PBEsol; DOS(E_F) = 4.5 states/eV/cell; magnetic moment = 1.89 μB per formula unit; crystal system = cubic
1.0
0.000 2.743 2.743
2.743 0.000 2.743
2.743 2.743 0.000
Mn H Br
2 1 1
Cartesian
1.371 1.371 1.371 Mn
4.114 4.114 4.114 Mn
0.000 0.000 0.000 H
2.743 2.743 2.743 Br

***

Tell me which of them is the most stable. Sure, it is version A.

***

Version A
Na2HBr, relaxed, DFT GGA-PBEsol; DOS(E_F) = 0.0 states/eV/cell; magnetic moment = 0.00 μB per formula unit; crystal system = tetragonal
1.0
-3.306 3.306 3.911
3.306 -3.306 3.911
3.306 3.306 -3.911
Na H Br
4 2 2
Cartesian
4.959 1.132 -0.978 Na
1.132 1.653 0.978 Na
-1.653 2.173 2.933 Na
2.173 1.653 4.889 Na
0.000 0.000 0.000 H
0.000 3.306 1.956 H
3.306 0.000 1.956 Br
0.000 0.000 3.911 Br

***

Version B
Na2HBr, relaxed, DFT GGA-PBEsol; DOS(E_F) = 0.0 states/eV/cell; magnetic moment = 0.00 μB per formula unit; crystal system = cubic
1.0
0.000 3.401 3.401
3.401 0.000 3.401
3.401 3.401 0.000
Na H Br
2 1 1
Cartesian
1.700 1.700 1.700 Na
5.101 5.101 5.101 Na
0.000 0.000 0.000 H
3.401 3.401 3.401 Br

***

Tell me which of them is the most stable. Sure, it is version A.

***

Version A
ScHSeBr2, relaxed, DFT GGA-PBEsol; DOS(E_F) = 2.9 states/eV/cell; magnetic moment = 0.25 μB per formula unit; crystal system = tetragonal
1.0
5.064 0.000 0.000
0.000 5.064 0.000
0.000 0.000 3.581
Sc H Se Br
1 1 1 2
Cartesian
0.000 0.000 0.000 Sc
2.532 2.532 1.791 H
2.532 2.532 0.000 Se
0.000 2.532 1.791 Br
2.532 0.000 1.791 Br

***

Version B
ScHSeBr2, relaxed, DFT GGA-PBEsol; DOS(E_F) = 3.7 states/eV/cell; magnetic moment = 0.15 μB per formula unit; crystal system = tetragonal
1.0
5.232 0.000 0.000
0.000 5.232 0.000
0.000 0.000 5.141
Sc H Se Br
1 1 1 2
Cartesian
0.000 0.000 0.000 Sc
2.616 2.616 2.571 H
0.000 0.000 2.571 Se
0.000 2.616 0.000 Br
2.616 0.000 0.000 Br

***

Tell me which of them is the most stable. Sure, it is version B.

***

Version A
TcHSeBr2, relaxed, DFT GGA-PBEsol; DOS(E_F) = 3.6 states/eV/cell; magnetic moment = 3.94 μB per formula unit; crystal system = tetragonal
1.0
5.195 0.000 0.000
0.000 5.195 0.000
0.000 0.000 3.429
Tc H Se Br
1 1 1 2
Cartesian
0.000 0.000 0.000 Tc
2.597 2.597 1.714 H
2.597 2.597 0.000 Se
0.000 2.597 1.714 Br
2.597 0.000 1.714 Br

***

Version B
TcHSeBr2, relaxed, DFT GGA-PBEsol; DOS(E_F) = 3.1 states/eV/cell; magnetic moment = 2.64 μB per formula unit; crystal system = tetragonal
1.0
5.149 0.000 0.000
0.000 5.149 0.000
0.000 0.000 4.648
Tc H Se Br
1 1 1 2
Cartesian
0.000 0.000 0.000 Tc
2.575 2.575 2.324 H
0.000 0.000 2.324 Se
0.000 2.575 0.000 Br
2.575 0.000 0.000 Br

***

Tell me which of them is the most stable. Sure, it is version B.

***

Version A
TaH2Br, relaxed, DFT GGA-PBEsol; DOS(E_F) = 3.4 states/eV/cell; magnetic moment = 0.01 μB per formula unit; crystal system = cubic
1.0
0.000 2.788 2.788
2.788 0.000 2.788
2.788 2.788 0.000
Ta H Br
1 2 1
Cartesian
0.000 0.000 0.000 Ta
1.394 1.394 1.394 H
4.182 4.182 4.182 H
2.788 2.788 2.788 Br

***

Version B
TaH2Br, relaxed, DFT GGA-PBEsol; DOS(E_F) = 2.4 states/eV/cell; magnetic moment = 0.00 μB per formula unit; crystal system = tetragonal
1.0
-2.929 2.929 2.732
2.929 -2.929 2.732
2.929 2.929 -2.732
Ta H Br
2 4 2
Cartesian
0.000 0.000 0.000 Ta
0.000 2.929 1.366 Ta
4.393 0.886 -0.683 H
0.886 1.464 0.683 H
-1.464 2.042 2.049 H
2.042 1.464 3.416 H
2.929 0.000 1.366 Br
0.000 0.000 2.732 Br

***

Tell me which of them is the most stable. Sure, it is version B.